Compound: SrTmIn
Source: Alexandria via LeMat-Bulk
Functional: GGA-PBE
Structure: optimized geometry

```
SrTmIn
1.0
3.891 0.000 0.000
0.000 3.891 0.000
-1.946 -1.946 13.774
Tm In Sr
2 2 2
direct
0.287 0.287 0.575
0.713 0.713 0.425
0.154 0.154 0.307
0.846 0.846 0.693
0.573 0.573 0.147
0.427 0.427 0.853
```

Properties
The value obtained for the formation energy is -243 meV/atom. For the magnetic moment, the calculation gives 1.01 μB/cell. The raw total energy comes out at -3.21 eV/atom. The relative energy among the computed polymorphs comes out at 61 meV/atom.

Compound: Nd3YPa2N6
Source: Alexandria via LeMat-Bulk
Functional: GGA-PBE
Structure: optimized geometry

```
Nd3YPa2N6
1.0
6.157 -0.003 0.001
-3.079 5.332 0.001
-1.026 -1.776 5.872
Nd Y Pa N
3 1 2 6
direct
0.166 0.834 0.500
0.834 0.166 0.500
0.500 0.500 0.500
0.000 0.000 0.000
0.333 0.667 0.000
0.667 0.333 0.000
0.927 0.581 0.783
0.726 0.726 0.217
0.073 0.419 0.217
0.581 0.927 0.783
0.274 0.274 0.783
0.419 0.073 0.217
```

Properties
For the magnetic moment, the calculation gives 0.00 μB/cell. The raw total energy comes out at -9.07 eV/atom. Its formation energy (no corrections) is -1.5912 eV/atom.

Compound: BaMgZn2Ge2
Source: Alexandria via LeMat-Bulk
Functional: GGA-PBE
Structure: optimized geometry

```
BaMgZn2Ge2
1.0
-4.164 0.850 1.310
1.554 -4.166 0.092
2.551 1.115 7.386
Ba Mg Zn Ge
1 1 2 2
direct
0.000 0.000 0.000
0.000 0.000 0.500
0.667 0.333 0.336
0.333 0.667 0.664
0.667 0.333 0.714
0.333 0.667 0.286
```

Properties
The value obtained for the formation energy is -330 meV/atom. For the magnetic moment, the calculation gives 0.00 μB/cell. The raw total energy comes out at -2.88 eV/atom.

Compound: Te2Rh
Source: Alexandria via LeMat-Bulk
Functional: GGA-PBE
Structure: optimized geometry

```
Te2Rh
1.0
3.726 -6.454 0.000
3.726 6.454 0.000
0.000 0.000 4.177
Te Rh
6 3
direct
0.269 0.000 0.000
0.000 0.269 0.000
0.731 0.731 0.000
0.597 0.000 0.500
0.000 0.597 0.500
0.403 0.403 0.500
0.333 0.667 0.000
0.667 0.333 0.000
0.000 0.000 0.500
```

Properties
For the magnetic moment, the calculation gives 0.00 μB/cell. The raw total energy comes out at -4.54 eV/atom. Its formation energy (no corrections) is 0.0045 eV/atom.

Compound: CsTcBiAs2
Source: Alexandria via LeMat-Bulk
Functional: GGA-PBE
Structure: optimized geometry

```
CsTcBiAs2
1.0
4.943 0.000 0.000
0.000 5.635 0.000
0.000 0.000 4.943
Cs As Bi Tc
1 2 1 1
direct
0.000 0.500 0.000
0.000 0.000 0.500
0.500 0.000 0.000
0.500 0.500 0.500
0.000 0.000 0.000
```

Properties
The value obtained for the formation energy is 584 meV/atom. For the magnetic moment, the calculation gives 0.00 μB/cell. The raw total energy comes out at -4.30 eV/atom.

Compound: ScPPdS2
Source: Alexandria via LeMat-Bulk
Functional: GGA-PBE
Structure: optimized geometry

```
ScPPdS2
1.0
-2.037 0.078 -4.257
-1.005 -4.594 0.397
-3.999 1.041 1.933
Sc P S Pd
1 1 2 1
direct
0.500 0.500 0.500
0.000 0.000 0.500
0.000 0.500 0.000
0.500 0.000 0.000
0.000 0.000 0.000
```

Properties
For the magnetic moment, the calculation gives 0.00 μB/cell. The raw total energy comes out at -5.07 eV/atom. Its formation energy (no corrections) is -0.0338 eV/atom. The relative energy among the computed polymorphs comes out at 0 meV/atom.